Below is a geometry-optimized CrGeF2 structure, with properties calculated at the GGA+U level.

Output
As for the total energy: -20.735 eV/cell. For the calculated volume, the calculation gives 15.606 Å³ per atom. The density of states at the Fermi level is 0.171 states/eV per atom.

a = 8.0462 Å, b = 8.0462 Å, c = 8.0462 Å
α = 21.70°, β = 21.70°, γ = 21.70°
Sites, in units of the cell vectors:
F: 0.0823 0.0823 0.0823
Ge: 0.5000 0.5000 0.5000
Cr: 0.0000 0.0000 0.0000
F: 0.9177 0.9177 0.9177